[1]
## Li2BeAgCl6 (PBE-GGA)

Data for crystalline Li2BeAgCl6 at its relaxed geometry.

Summary:
Space-group type: C2/c (15)
Raw formation energy (eV per atom): -1.148

Cell and atoms, written as POSCAR:
```
Li2BeAgCl6
1.0
6.592 -8.010 0.000
6.592 8.010 0.000
-2.168 0.000 5.039
Li Be Ag Cl
4 2 2 12
Cartesian
1.838 1.882 1.567
0.754 -1.882 4.086
10.263 1.882 0.953
9.179 -1.882 3.472
4.966 3.202 3.779
6.050 -3.202 1.260
6.050 0.424 1.260
4.966 -0.424 3.779
3.389 4.173 4.445
0.835 0.021 2.643
1.919 -0.021 0.124
4.214 1.849 2.323
6.544 4.173 3.113
7.887 1.849 0.197
3.130 -1.849 4.842
4.473 -4.173 1.926
6.802 -1.849 2.716
9.097 0.021 4.915
10.181 -0.021 2.395
7.628 -4.173 0.593
```

***

[2]
## Be2AgNCl (PBE-GGA)

Data for crystalline Be2AgNCl at its relaxed geometry.

Summary:
Space-group type: P4/mmm (123)
Raw formation energy (eV per atom): 1.497

Cell and atoms, written as POSCAR:
```
Be2AgNCl
1.0
4.014 0.000 0.000
0.000 4.014 0.000
0.000 0.000 4.190
Be Ag N Cl
2 1 1 1
Cartesian
0.000 2.007 0.000
2.007 0.000 0.000
0.000 0.000 2.095
2.007 2.007 2.095
2.007 2.007 0.000
```